Entry 1:
VASP calculation (PBE-GGA) on an optimized crystal structure of YMo3Os.

Output
**Formation energy**: 2.8871 eV/atom
**N(E_F)**: 9.1 states/eV/cell
**ΔE to the lowest computed polymorph**: 1.815 eV per atom
**Total moment**: 0.00 μB/f.u.

abc: 4.6607 4.6607 4.6607
angles: 90.00 90.00 90.00
With the nearest neighbours (Å) after each atom.
Atoms (fractional coordinates):
1 Y 0.0000 0.0000 0.0000  6 Mo 2.33
2 Mo 0.0000 0.5000 0.0000  2 Y 2.33
3 Mo 0.0000 0.0000 0.5000  2 Y 2.33
4 Mo 0.5000 0.0000 0.0000  2 Y 2.33
5 Os 0.5000 0.5000 0.5000  12 Mo 3.30


Entry 2:
VASP calculation (PBE-GGA) on an optimized crystal structure of Y2MoOs.

Output
**Formation energy**: 0.4138 eV/atom
**N(E_F)**: 2.8 states/eV/cell
**ΔE to the lowest computed polymorph**: 0.370 eV per atom
**Total moment**: 0.00 μB/f.u.

abc: 3.4473 5.0522 4.6206
angles: 90.00 90.00 90.00
With the nearest neighbours (Å) after each atom.
Atoms (fractional coordinates):
1 Mo 0.5000 0.0000 0.5000  4 Y 2.88, 4 Os 3.06
2 Os 0.0000 0.5000 0.5000  4 Y 2.88, 4 Mo 3.06
3 Y 0.0000 0.0000 0.0000  4 Mo 2.88, 4 Y 3.06
4 Y 0.5000 0.5000 0.0000  4 Os 2.88, 4 Y 3.06


Entry 3:
VASP calculation (PBE-GGA) on an optimized crystal structure of Y2MoOs.

Output
**Formation energy**: 0.3183 eV/atom
**N(E_F)**: 4.8 states/eV/cell
**ΔE to the lowest computed polymorph**: 0.275 eV per atom
**Total moment**: 1.18 μB/f.u.

abc: 3.3895 3.3885 7.3257
angles: 90.00 90.00 90.00
With the nearest neighbours (Å) after each atom.
Atoms (fractional coordinates):
1 Mo 0.5000 0.5000 0.2500  8 Y 3.10, 4 Mo 3.39
2 Os 0.5000 0.5000 0.7500  8 Y 2.94
3 Y 0.0000 0.0000 0.9822  4 Os 2.94, 4 Mo 3.10
4 Y 0.0000 0.0000 0.5178  4 Os 2.94, 4 Mo 3.10


Entry 4:
VASP calculation (PBE-GGA) on an optimized crystal structure of Y2MoOs.

Output
**Formation energy**: 0.3362 eV/atom
**N(E_F)**: 4.7 states/eV/cell
**ΔE to the lowest computed polymorph**: 0.292 eV per atom
**Total moment**: 0.00 μB/f.u.

abc: 4.8248 4.8248 4.8248
angles: 60.00 60.00 60.00
With the nearest neighbours (Å) after each atom.
Atoms (fractional coordinates):
1 Mo 0.5000 0.5000 0.5000  4 Os 2.95, 4 Y 2.95
2 Os 0.7500 0.7500 0.7500  4 Mo 2.95, 4 Y 2.95
3 Y 0.0000 0.0000 0.0000  4 Y 2.95, 4 Os 2.95
4 Y 0.2500 0.2500 0.2500  4 Mo 2.95, 4 Y 2.95


Entry 5:
VASP calculation (PBE-GGA) on an optimized crystal structure of Y2MoOs.

Output
**Formation energy**: 0.3463 eV/atom
**N(E_F)**: 6.7 states/eV/cell
**ΔE to the lowest computed polymorph**: 0.303 eV per atom
**Total moment**: 2.69 μB/f.u.

abc: 4.9242 4.9242 4.9242
angles: 60.00 60.00 60.00
With the nearest neighbours (Å) after each atom.
Atoms (fractional coordinates):
1 Y 0.2500 0.2500 0.2500  4 Os 3.02, 4 Mo 3.02
2 Y 0.7500 0.7500 0.7500  4 Os 3.02, 4 Mo 3.02
3 Mo 0.0000 0.0000 0.0000  8 Y 3.02
4 Os 0.5000 0.5000 0.5000  8 Y 3.02


Entry 6:
VASP calculation (PBE-GGA) on an optimized crystal structure of YMo2Os2.

Output
**Formation energy**: 0.1854 eV/atom
**N(E_F)**: 4.8 states/eV/cell
**ΔE to the lowest computed polymorph**: 0.257 eV per atom
**Total moment**: 0.00 μB/f.u.

abc: 4.3213 4.3213 6.0762
angles: 69.17 69.17 90.00
With the nearest neighbours (Å) after each atom.
Atoms (fractional coordinates):
1 Y 0.0000 0.0000 0.0000  8 Mo 3.32, 8 Os 3.40
2 Mo 0.3756 0.3756 0.2488  4 Os 2.53, 1 Mo 2.61
3 Mo 0.6244 0.6244 0.7512  4 Os 2.53, 1 Mo 2.61
4 Os 0.7500 0.2500 0.5000  4 Mo 2.53
5 Os 0.2500 0.7500 0.5000  4 Mo 2.53


Entry 7:
VASP calculation (PBE-GGA) on an optimized crystal structure of ZnMoOs2.

Output
**Formation energy**: 0.8441 eV/atom
**N(E_F)**: 2.7 states/eV/cell
**Total moment**: 0.00 μB/f.u.

abc: 7.2417 7.2417 5.7442
angles: 50.92 50.92 90.00
With the nearest neighbours (Å) after each atom.
Atoms (fractional coordinates):
1 Mo 0.0000 0.0000 0.0000  4 Os 2.44, 2 Zn 2.60
2 Mo 0.7500 0.2500 0.5000  4 Os 2.44, 2 Zn 2.60
3 Os 0.6669 0.1250 0.2500  2 Mo 2.44, 2 Os 2.67
4 Os 0.0831 0.6250 0.2500  2 Mo 2.44, 2 Os 2.67
5 Os 0.3750 0.3331 0.7500  2 Mo 2.44, 2 Os 2.67
6 Os 0.8750 0.9169 0.7500  2 Mo 2.44, 2 Os 2.67
7 Zn 0.5000 0.5000 0.0000  2 Mo 2.60, 4 Os 2.86
8 Zn 0.2500 0.7500 0.5000  2 Mo 2.60, 4 Os 2.86


Entry 8:
VASP calculation (PBE-GGA) on an optimized crystal structure of ZnMoOs2.

Output
**Formation energy**: 0.2236 eV/atom
**N(E_F)**: 3.8 states/eV/cell
**Total moment**: 0.00 μB/f.u.

abc: 4.8497 4.8497 4.6910
angles: 80.26 80.26 33.02
With the nearest neighbours (Å) after each atom.
Atoms (fractional coordinates):
1 Mo 0.2576 0.2576 0.2349  7 Os 2.71-2.76, 3 Zn 2.75-2.91, 2 Mo 2.76
2 Os 0.0093 0.0093 0.0075  4 Os 2.65-2.76, 3 Mo 2.71-2.76, 4 Zn 2.72-2.73
3 Os 0.7387 0.7387 0.7458  4 Os 2.65-2.76, 3 Zn 2.69-2.80, 4 Mo 2.71-2.74
4 Zn 0.4944 0.4944 0.5118  7 Os 2.69-2.80, 3 Mo 2.75-2.91, 2 Zn 2.76


Entry 9:
VASP calculation (PBE-GGA) on an optimized crystal structure of ZnMo4Os.

Output
**Formation energy**: 0.4405 eV/atom
**N(E_F)**: 6.2 states/eV/cell
**Total moment**: 0.00 μB/f.u.

abc: 5.1569 5.1569 5.1569
angles: 60.00 60.00 60.00
With the nearest neighbours (Å) after each atom.
Atoms (fractional coordinates):
1 Zn 0.0000 0.0000 0.0000  12 Mo 3.02, 4 Os 3.16
2 Mo 0.8784 0.3738 0.3738  6 Mo 2.55-2.60
3 Mo 0.3738 0.3738 0.8784  6 Mo 2.55-2.60
4 Mo 0.3738 0.8784 0.3738  6 Mo 2.55-2.60
5 Mo 0.3738 0.3738 0.3738  6 Mo 2.55-2.60
6 Os 0.7500 0.7500 0.7500  12 Mo 3.03, 4 Zn 3.16


Entry 10:
VASP calculation (PBE-GGA) on an optimized crystal structure of ZnMoOs.

Output
**Formation energy**: 0.1091 eV/atom
**N(E_F)**: 2.5 states/eV/cell
**ΔE to the lowest computed polymorph**: 0.031 eV per atom
**Total moment**: 0.00 μB/f.u.

abc: 4.7274 4.7274 4.7274
angles: 144.96 132.83 60.10
With the nearest neighbours (Å) after each atom.
Atoms (fractional coordinates):
1 Mo 0.9965 0.9965 0.0000  5 Zn 2.68-2.75, 5 Os 2.71-2.77, 2 Mo 2.85
2 Os 0.3350 0.3350 0.0000  5 Mo 2.71-2.77, 5 Zn 2.73, 2 Os 2.85
3 Zn 0.6686 0.6686 0.0000  5 Mo 2.68-2.75, 5 Os 2.73, 2 Zn 2.85


Entry 11:
VASP calculation (PBE-GGA) on an optimized crystal structure of Zn2Mo2Os.

Output
**Formation energy**: 0.7281 eV/atom
**N(E_F)**: 10.4 states/eV/cell
**ΔE to the lowest computed polymorph**: 0.149 eV per atom
**Total moment**: 0.00 μB/f.u.

abc: 6.9119 6.9119 3.3119
angles: 90.00 90.00 90.00
With the nearest neighbours (Å) after each atom.
Atoms (fractional coordinates):
1 Mo 0.3782 0.8782 0.0000  1 Mo 2.38, 2 Zn 2.57
2 Mo 0.8782 0.6218 0.0000  1 Mo 2.38, 2 Zn 2.57
3 Mo 0.6218 0.1218 0.0000  1 Mo 2.38, 2 Zn 2.57
4 Mo 0.1218 0.3782 0.0000  1 Mo 2.38, 2 Zn 2.57
5 Os 0.0000 0.0000 0.0000  4 Mo 2.75, 8 Zn 3.04
6 Os 0.5000 0.5000 0.0000  4 Mo 2.75, 8 Zn 3.04
7 Zn 0.1770 0.6770 0.5000  6 Mo 2.57-2.67
8 Zn 0.6770 0.8230 0.5000  6 Mo 2.57-2.67
9 Zn 0.8230 0.3230 0.5000  6 Mo 2.57-2.67
10 Zn 0.3230 0.1770 0.5000  6 Mo 2.57-2.67


Entry 12:
VASP calculation (PBE-GGA) on an optimized crystal structure of ZnMoOs2.

Output
**Formation energy**: 0.3967 eV/atom
**N(E_F)**: 2.8 states/eV/cell
**Total moment**: 0.00 μB/f.u.

abc: 2.8373 4.6387 4.4866
angles: 90.00 90.00 90.00
With the nearest neighbours (Å) after each atom.
Atoms (fractional coordinates):
1 Mo 0.0000 0.5000 0.5000  4 Os 2.65, 4 Zn 2.72, 2 Mo 2.84
2 Os 0.0000 0.0000 0.0000  4 Zn 2.65, 6 Os 2.72-2.84
3 Os 0.5000 0.5000 0.0000  4 Mo 2.65, 6 Os 2.72-2.84
4 Zn 0.5000 0.0000 0.5000  4 Os 2.65, 4 Mo 2.72, 2 Zn 2.84